Material: HoErNiAu
Method: DFT, PBE
State: optimized geometry

Geometry as POSCAR:
```
HoErNiAu
1.0
4.4881 0.0000 0.0000
0.0000 1.8594 5.2191
0.0000 -1.8594 5.2191
Ho Er Ni Au
1 1 1 1
direct
0.0000 0.0000 0.0000
0.5000 0.2803 0.2803
0.5000 0.5565 0.5565
0.0000 0.7184 0.7184
```

## Properties
The value obtained for the raw total energy is -5.21 eV/atom. The calculation puts the energy relative to the lowest polymorph listed for this composition at 0.000 eV/atom. The space group is Amm2. The calculation puts the formation energy at -0.661 eV/atom.

---

Material: Na2TlPd2
Method: DFT, PBE
State: optimized geometry

Geometry as POSCAR:
```
Na2TlPd2
1.0
-1.9466 1.9466 7.0169
1.9466 -1.9466 7.0169
1.9466 1.9466 -7.0169
Na Tl Pd
2 1 2
direct
0.2500 0.7500 0.5000
0.7500 0.2500 0.5000
0.0000 0.0000 0.0000
0.4057 0.4057 0.0000
0.5943 0.5943 0.0000
```

## Properties
The value obtained for the raw total energy is -2.96 eV/atom. The calculation puts the energy relative to the lowest polymorph listed for this composition at 0.290 eV/atom. The space group is I4/mmm. The calculation puts the formation energy at 0.115 eV/atom.

---

Material: Cr2AsRu
Method: DFT, PBE
State: optimized geometry

Geometry as POSCAR:
```
Cr2AsRu
1.0
4.3186 -1.4751 0.0000
4.3186 1.4751 0.0000
-1.2858 0.0000 4.2859
Cr As Ru
2 1 1
direct
0.0000 0.0000 0.0000
0.7362 0.7362 0.1276
0.4897 0.4897 0.4763
0.2315 0.2315 0.6218
```

## Properties
The value obtained for the raw total energy is -8.27 eV/atom. The space group is Cm. The calculation puts the formation energy at 0.024 eV/atom.

---

Material: SmRhO
Method: DFT, PBE
State: optimized geometry

Geometry as POSCAR:
```
SmRhO
1.0
15.0403 0.0000 0.0000
0.0000 3.8589 0.0000
0.0000 0.0000 3.8571
Sm Rh O
4 4 4
direct
0.0804 0.2500 0.2500
0.4196 0.7500 0.7500
0.5804 0.2500 0.2500
0.9196 0.7500 0.7500
0.2500 0.2500 0.7492
0.2500 0.7500 0.2492
0.7500 0.2500 0.7508
0.7500 0.7500 0.2508
0.0000 0.2500 0.7500
0.0000 0.7500 0.2500
0.5000 0.2500 0.7500
0.5000 0.7500 0.2500
```

## Properties
The value obtained for the raw total energy is -7.52 eV/atom. The space group is Pnma.